This record from Alexandria via LeMat-Bulk describes an optimized crystal structure of InRuSe2. The functional is PBE.

Cell lengths 8.7191, 8.7191, 8.7191 Å; angles 24.31, 24.31, 24.31 degrees
Atoms (fractional coordinates):
Se  0.8851  0.8851  0.8851
Se  0.1149  0.1149  0.1149
In  0.0000  0.0000  0.0000
Ru  0.5000  0.5000  0.5000

E_form (uncorrected)   -0.119 eV/atom
Space group   R-3m (166)